--- 1 ---
DFT (PBE) results for a relaxed structure of LaCdPb3.

abc: 5.6181 5.6181 5.6181
angles: 90.00 90.00 90.00
Closest atoms and distances in Å follow each position.
Space group Pm-3m (No. 221)
Unique sites:
La 0.0000 0.0000 0.0000  12 Pb 3.97
Cd 0.5000 0.5000 0.5000  6 Pb 2.81
Pb 0.0000 0.5000 0.5000  2 Cd 2.81

---

--- 2 ---
DFT (PBE) results for a relaxed structure of LaCdPb3.

abc: 7.6512 7.6512 6.3088
angles: 90.00 90.00 120.00
Closest atoms and distances in Å follow each position.
Space group P6_3/mmc (No. 194)
Unique sites:
La 0.3333 0.6667 0.2500  12 Pb 3.65-3.84
Cd 0.0000 0.0000 0.0000  6 Pb 3.03, 2 Cd 3.15
Pb 0.1955 0.3910 0.7500  2 Cd 3.03, 2 Pb 3.16

---

--- 3 ---
DFT (PBE) results for a relaxed structure of LaCdPb3.

abc: 6.1862 6.1862 6.1862
angles: 90.00 90.00 90.00
Closest atoms and distances in Å follow each position.
Space group Pm-3m (No. 221)
Unique sites:
La 0.0000 0.0000 0.0000  6 Pb 3.09
Cd 0.5000 0.5000 0.5000  12 Pb 4.37
Pb 0.0000 0.0000 0.5000  2 La 3.09

---

It comes down to 2, which is 0.257 eV/atom more stable than the next structure.

---

--- 1 ---
DFT (PBE) results for a relaxed structure of LaCd3Pb.

abc: 5.9530 5.9530 5.9530
angles: 90.00 90.00 90.00
Closest atoms and distances in Å follow each position.
Space group Pm-3m (No. 221)
Unique sites:
La 0.0000 0.0000 0.0000  6 Cd 2.98
Cd 0.0000 0.0000 0.5000  2 La 2.98
Pb 0.5000 0.5000 0.5000  12 Cd 4.21

---

--- 2 ---
DFT (PBE) results for a relaxed structure of LaCd3Pb.

abc: 5.5526 5.5526 5.5526
angles: 90.00 90.00 90.00
Closest atoms and distances in Å follow each position.
Space group Pm-3m (No. 221)
Unique sites:
La 0.0000 0.0000 0.0000  12 Cd 3.93
Cd 0.0000 0.5000 0.5000  2 Pb 2.78
Pb 0.5000 0.5000 0.5000  6 Cd 2.78

---

It comes down to 2, which is 0.419 eV/atom more stable than the next structure.

---

--- 1 ---
DFT (PBE) results for a relaxed structure of La2CdRhPb.

abc: 5.4366 5.4366 5.2246
angles: 90.00 90.00 90.00
Closest atoms and distances in Å follow each position.
Space group P4/mmm (No. 123)
Unique sites:
La 0.0000 0.5000 0.0000  2 Rh 2.72
Cd 0.0000 0.0000 0.5000  2 Rh 2.61
Rh 0.0000 0.0000 0.0000  2 Cd 2.61, 4 La 2.72
Pb 0.5000 0.5000 0.5000  8 La 3.77, 4 Cd 3.84

---

--- 2 ---
DFT (PBE) results for a relaxed structure of La2CdRhPb.

abc: 5.5048 5.5048 5.2304
angles: 90.00 90.00 90.00
Closest atoms and distances in Å follow each position.
Space group P4/mmm (No. 123)
Unique sites:
La 0.0000 0.5000 0.0000  2 Rh 2.75
Cd 0.0000 0.0000 0.5000  8 La 3.80, 4 Pb 3.89
Rh 0.5000 0.5000 0.0000  2 Pb 2.62, 4 La 2.75
Pb 0.5000 0.5000 0.5000  2 Rh 2.62

---

It comes down to 1, which is 0.096 eV/atom more stable than the next structure.

---

--- 1 ---
DFT (PBE) results for a relaxed structure of LaTlCdPb.

abc: 7.7395 7.7395 7.7395
angles: 90.00 90.00 90.00
Closest atoms and distances in Å follow each position.
Space group F-43m (No. 216)
Unique sites:
La 0.0000 0.0000 0.0000  4 Tl 3.35, 4 Pb 3.35
Tl 0.2500 0.2500 0.2500  4 Cd 3.35, 4 La 3.35
Cd 0.0000 0.0000 0.5000  4 Pb 3.35, 4 Tl 3.35
Pb 0.2500 0.2500 0.7500  4 Cd 3.35, 4 La 3.35

---

--- 2 ---
DFT (PBE) results for a relaxed structure of LaTlCdPb.

abc: 4.7123 4.8646 5.0032
angles: 90.00 90.00 90.00
Closest atoms and distances in Å follow each position.
Space group Pmmm (No. 47)
Unique sites:
La 0.0000 0.0000 0.0000  4 Pb 3.39, 4 Tl 3.44, 4 Cd 3.49
Tl 0.5000 0.0000 0.5000  4 Cd 3.39, 4 La 3.44, 4 Pb 3.49
Cd 0.0000 0.5000 0.5000  4 Tl 3.39, 4 Pb 3.44, 4 La 3.49
Pb 0.5000 0.5000 0.0000  4 La 3.39, 4 Cd 3.44, 4 Tl 3.49

---

It comes down to 2, which is 0.128 eV/atom more stable than the next structure.